DFT (PBE) results for an optimized crystal structure of Sm5Ta2S12.

CIF file:
```
data_Sm5Ta2S12
_space_group_name_H-M_alt 'C 1 2/m 1'
_space_group_IT_number 12
_cell_length_a 15.374
_cell_length_b 7.045
_cell_length_c 8.923
_cell_angle_alpha 90.00
_cell_angle_beta 107.20
_cell_angle_gamma 90.00
loop_
_space_group_symop_operation_xyz
'x,y,z'
'-x,-y,-z'
'-x,y,-z'
'x,-y,z'
'x+1/2,y+1/2,z'
'-x+1/2,-y+1/2,-z'
'-x+1/2,y+1/2,-z'
'x+1/2,-y+1/2,z'
loop_
_atom_site_label
_atom_site_type_symbol
_atom_site_fract_x
_atom_site_fract_y
_atom_site_fract_z
Sm1 Sm 0.000 0.000 0.000
Sm2 Sm 0.186 0.500 0.331
Sm3 Sm 0.203 0.500 0.858
Ta1 Ta 0.000 0.245 0.500
S1 S 0.004 0.000 0.311
S2 S 0.004 0.500 0.701
S3 S 0.149 0.252 0.069
S4 S 0.166 0.256 0.585
```

formation energy without anion corrections	-162.00	kJ/mol of atoms
M_tot	0.00	μB per formula unit

---

DFT (PBE) results for an optimized crystal structure of SmTaS.

CIF file:
```
data_SmTaS
_space_group_name_H-M_alt 'P 4/n m m'
_space_group_IT_number 129
_cell_length_a 3.815
_cell_length_b 3.815
_cell_length_c 9.856
_cell_angle_alpha 90.00
_cell_angle_beta 90.00
_cell_angle_gamma 90.00
loop_
_space_group_symop_operation_xyz
'x,y,z'
'-x,-y,-z'
'-y+1/2,x,z'
'y+1/2,-x,-z'
'-x+1/2,-y+1/2,z'
'x+1/2,y+1/2,-z'
'y,-x+1/2,z'
'-y,x+1/2,-z'
'x+1/2,-y,-z'
'-x+1/2,y,z'
'-y,-x,-z'
'y,x,z'
'-x,y+1/2,-z'
'x,-y+1/2,z'
'y+1/2,x+1/2,-z'
'-y+1/2,-x+1/2,z'
loop_
_atom_site_label
_atom_site_type_symbol
_atom_site_fract_x
_atom_site_fract_y
_atom_site_fract_z
Sm1 Sm 0.250 0.250 0.187
Ta1 Ta 0.250 0.750 0.500
S1 S 0.250 0.250 0.887
```

formation energy without anion corrections	-57.47	kJ/mol of atoms
M_tot	0.75	μB per formula unit

---

> Which of these has the lowest formation energy without anion corrections?

Sm5Ta2S12

---

> Among the records above, which one has the highest formation energy without anion corrections?

SmTaS

---

> Which of these has the lowest M_tot?

Sm5Ta2S12

---

> What is the formation energy without anion corrections in the second record?

-57.47 kJ/mol of atoms